Density functional theory data (PBEsol) for a relaxed structure of K2Zr.

a b c (Å): 16.4327 3.2520 10.3360
angles (deg): 90.00 109.33 90.00
With the nearest neighbours (Å) after each atom.
Space group C2/m (No. 12)
Asymmetric unit:
K1 0.0405 0.0000 0.2122 (multiplicity 4)  2 K 3.25
K2 0.1739 0.5000 0.6495 (multiplicity 4)  2 K 3.25
Zr1 0.1831 0.5000 0.0103 (multiplicity 4)  2 Zr 2.80

Properties
Electronic total energy ... -37.49 eV per cell
Excess energy over the best structure of this formula in the dataset ... 178 meV per atom
Formation energy ... 0.661 eV per atom
V ... 43.435 Å³ per atom
Total magnetization ... 0.00 μB/cell

---

Density functional theory data (PBEsol) for a relaxed structure of KZr2.

a b c (Å): 2.9323 18.0372 6.2042
angles (deg): 90.00 90.00 90.00
With the nearest neighbours (Å) after each atom.
Space group Cmcm (No. 63)
Asymmetric unit:
K1 0.0000 0.1232 0.2500 (multiplicity 4)  2 K 2.93
Zr1 0.0000 0.1988 0.7500 (multiplicity 4)  4 Zr 2.93
Zr2 0.0000 0.4420 0.2500 (multiplicity 4)  4 Zr 2.93

Properties
Electronic total energy ... -66.28 eV per cell
Excess energy over the best structure of this formula in the dataset ... 491 meV per atom
Formation energy ... 0.915 eV per atom
V ... 27.345 Å³ per atom
Total magnetization ... 0.01 μB/cell

---

Density functional theory data (PBEsol) for a relaxed structure of La.

a b c (Å): 3.6484 3.6484 5.9535
angles (deg): 90.00 90.00 120.00
With the nearest neighbours (Å) after each atom.
Space group P6_3/mmc (No. 194)
Asymmetric unit:
La1 0.3333 0.6667 0.2500 (multiplicity 2)  12 La 3.65

Properties
Electronic total energy ... -10.62 eV per cell
Excess energy over the best structure of this formula in the dataset ... 37 meV per atom
Formation energy ... 0.037 eV per atom
V ... 34.314 Å³ per atom
Total magnetization ... 0.00 μB/cell

---

Density functional theory data (PBEsol) for a relaxed structure of La.

a b c (Å): 3.6533 3.6533 11.7351
angles (deg): 90.00 90.00 120.00
With the nearest neighbours (Å) after each atom.
Space group P6_3/mmc (No. 194)
Asymmetric unit:
La1 0.0000 0.0000 0.0000 (multiplicity 2)  12 La 3.61-3.65
La2 0.3333 0.6667 0.2500 (multiplicity 2)  12 La 3.61-3.65

Properties
Electronic total energy ... -21.39 eV per cell
Excess energy over the best structure of this formula in the dataset ... 0 meV per atom
Formation energy ... 0.000 eV per atom
V ... 33.909 Å³ per atom
Total magnetization ... 0.00 μB/cell

---

Density functional theory data (PBEsol) for a relaxed structure of La.

a b c (Å): 5.7864 5.7864 3.5162
angles (deg): 90.00 90.00 120.00
With the nearest neighbours (Å) after each atom.
Space group P6/mmm (No. 191)
Asymmetric unit:
La1 0.0000 0.0000 0.0000 (multiplicity 1)  14 La 3.52-3.78
La2 0.3333 0.6667 0.5000 (multiplicity 2)  5 La 3.34-3.52

Properties
Electronic total energy ... -15.95 eV per cell
Excess energy over the best structure of this formula in the dataset ... 31 meV per atom
Formation energy ... 0.031 eV per atom
V ... 33.986 Å³ per atom
Total magnetization ... 0.00 μB/cell

---

Density functional theory data (PBEsol) for a relaxed structure of La.

a b c (Å): 5.1033 5.1033 5.1033
angles (deg): 90.00 90.00 90.00
With the nearest neighbours (Å) after each atom.
Space group Fm-3m (No. 225)
Asymmetric unit:
La1 0.0000 0.0000 0.0000 (multiplicity 4)  12 La 3.61

Properties
Electronic total energy ... -21.37 eV per cell
Excess energy over the best structure of this formula in the dataset ... 3 meV per atom
Formation energy ... 0.003 eV per atom
V ... 33.227 Å³ per atom
Total magnetization ... 0.00 μB/cell